No. 1
DFT (PBE-GGA) results for CeZnCu5 after structural relaxation.

Calculated total energy = -4.127 eV per atom
Calculated formation energy = -171.8 meV per atom
SG = No. 62

a = 8.122 Å, b = 5.061 Å, c = 10.238 Å
α = 90.00°, β = 90.00°, γ = 90.00°
Fractional positions:
Ce  0.241  0.250  0.062
Ce  0.259  0.750  0.562
Ce  0.741  0.250  0.438
Ce  0.759  0.750  0.938
Zn  0.144  0.750  0.860
Zn  0.356  0.250  0.360
Zn  0.644  0.750  0.640
Zn  0.856  0.250  0.140
Cu  0.064  0.750  0.098
Cu  0.066  0.005  0.309
Cu  0.066  0.495  0.309
Cu  0.094  0.250  0.516
Cu  0.181  0.250  0.754
Cu  0.319  0.750  0.254
Cu  0.406  0.750  0.016
Cu  0.434  0.505  0.809
Cu  0.434  0.995  0.809
Cu  0.436  0.250  0.598
Cu  0.564  0.750  0.402
Cu  0.566  0.005  0.191
Cu  0.566  0.495  0.191
Cu  0.594  0.250  0.984
Cu  0.681  0.250  0.746
Cu  0.819  0.750  0.246
Cu  0.906  0.750  0.484
Cu  0.934  0.505  0.691
Cu  0.934  0.995  0.691
Cu  0.936  0.250  0.902

No. 2
DFT (PBE-GGA) results for Ce2Zn2Cu3 after structural relaxation.

Calculated total energy = -3.987 eV per atom
Calculated formation energy = -171.9 meV per atom
SG = No. 63

a = 9.294 Å, b = 9.294 Å, c = 7.244 Å
α = 90.00°, β = 90.00°, γ = 154.84°
Fractional positions:
Ce  0.061  0.939  0.750
Ce  0.152  0.848  0.250
Ce  0.848  0.152  0.750
Ce  0.939  0.061  0.250
Zn  0.309  0.691  0.060
Zn  0.309  0.691  0.440
Zn  0.691  0.309  0.560
Zn  0.691  0.309  0.940
Cu  0.229  0.771  0.750
Cu  0.441  0.559  0.576
Cu  0.441  0.559  0.924
Cu  0.559  0.441  0.076
Cu  0.559  0.441  0.424
Cu  0.771  0.229  0.250

No. 3
DFT (PBE-GGA) results for Ce4ZnCu after structural relaxation.

Calculated total energy = -4.843 eV per atom
Calculated formation energy = 8.0 meV per atom
SG = No. 15

a = 8.846 Å, b = 8.846 Å, c = 5.195 Å
α = 90.68°, β = 90.68°, γ = 138.97°
Fractional positions:
Ce  0.086  0.367  0.264
Ce  0.227  0.308  0.706
Ce  0.308  0.227  0.206
Ce  0.367  0.086  0.764
Ce  0.633  0.914  0.236
Ce  0.692  0.773  0.794
Ce  0.773  0.692  0.294
Ce  0.914  0.633  0.736
Zn  0.205  0.795  0.250
Zn  0.795  0.205  0.750
Cu  0.298  0.702  0.750
Cu  0.702  0.298  0.250

No. 4
DFT (PBE-GGA) results for CeZn3Cu after structural relaxation.

Polymorph energy (0 for the lowest one) = 70 meV per atom
Calculated total energy = -2.883 eV per atom
Calculated formation energy = -112.5 meV per atom
SG = No. 74

a = 6.616 Å, b = 6.616 Å, c = 6.616 Å
α = 133.90°, β = 113.21°, γ = 84.98°
Fractional positions:
Ce  0.263  0.013  0.250
Ce  0.737  0.987  0.750
Zn  0.192  0.000  0.692
Zn  0.192  0.500  0.192
Zn  0.427  0.677  0.750
Zn  0.573  0.323  0.250
Zn  0.808  0.000  0.308
Zn  0.808  0.500  0.808
Cu  0.000  0.500  0.500
Cu  0.500  0.500  0.000

No. 5
DFT (PBE-GGA) results for Ce3Zn3Cu after structural relaxation.

Calculated total energy = -3.859 eV per atom
Calculated formation energy = -184.3 meV per atom
SG = No. 44

a = 10.347 Å, b = 10.347 Å, c = 10.347 Å
α = 161.59°, β = 154.60°, γ = 31.55°
Fractional positions:
Ce  0.000  0.000  0.000
Ce  0.397  0.397  0.000
Ce  0.703  0.203  0.500
Zn  0.135  0.635  0.500
Zn  0.565  0.565  0.000
Zn  0.836  0.836  0.000
Cu  0.267  0.767  0.500

No. 6
DFT (PBE-GGA) results for Ce3Zn2Cu4 after structural relaxation.

Calculated total energy = -4.277 eV per atom
Calculated formation energy = -195.2 meV per atom
SG = No. 12

a = 5.617 Å, b = 5.617 Å, c = 8.386 Å
α = 114.29°, β = 114.29°, γ = 46.87°
Fractional positions:
Ce  0.000  0.000  0.000
Ce  0.352  0.352  0.329
Ce  0.648  0.648  0.671
Zn  0.362  0.362  0.701
Zn  0.638  0.638  0.299
Cu  0.074  0.074  0.404
Cu  0.274  0.274  0.942
Cu  0.726  0.726  0.058
Cu  0.926  0.926  0.596